(1)
Density functional theory data (GGA-PBE) for a relaxed structure of LiYVN2.

Computed properties:
Electronic total energy in eV per cell: -34.8
DOS(E_F) in states/eV per atom: 0.507

Cell lengths 3.936, 3.936, 4.033 Å; angles 90.00, 90.00, 90.00 degrees
Space group P4/mmm (No. 123)
Inequivalent atoms, fractional coordinates:
1 Li 0.000 0.000 0.000 (multiplicity 1)
2 Y 0.500 0.500 0.000 (multiplicity 1)
3 V 0.000 0.000 0.500 (multiplicity 1)
4 N 0.000 0.500 0.500 (multiplicity 2)

***

(2)
Density functional theory data (GGA-PBE) for a relaxed structure of Pm8Tm2Tl.

Computed properties:
Electronic total energy in eV per cell: -96.8
Energy above the most stable polymorph in this dataset in eV per atom: 0.1235
DOS(E_F) in states/eV per atom: 1.647

Cell lengths 10.384, 13.150, 5.431 Å; angles 90.00, 90.00, 90.00 degrees
Space group Cmmm (No. 65)
Inequivalent atoms, fractional coordinates:
1 Pm 0.000 0.248 0.000 (multiplicity 4)
2 Pm 0.164 0.363 0.500 (multiplicity 8)
3 Pm 0.165 0.000 0.000 (multiplicity 4)
4 Tm 0.000 0.121 0.500 (multiplicity 4)
5 Tl 0.000 0.500 0.000 (multiplicity 2)

***

(3)
Density functional theory data (GGA-PBE) for a relaxed structure of Pm2SmMg2In2.

Computed properties:
Electronic total energy in eV per cell: -74.1
DOS(E_F) in states/eV per atom: 0.654

Cell lengths 5.0318, 5.0318, 26.9283 Å; angles 90.00, 90.00, 120.00 degrees
Space group R-3m (No. 166, hexagonal axes)
Inequivalent atoms, fractional coordinates:
1 Pm 0.0000 0.0000 0.1292 (multiplicity 6)
2 Sm 0.0000 0.0000 0.0000 (multiplicity 3)
3 Mg 0.0000 0.0000 0.3993 (multiplicity 6)
4 In 0.0000 0.0000 0.2640 (multiplicity 6)

***

(4)
Density functional theory data (GGA-PBE) for a relaxed structure of CeUTc.

Computed properties:
Electronic total energy in eV per cell: -55.3
Energy above the most stable polymorph in this dataset in eV per atom: 0.0381
DOS(E_F) in states/eV per atom: 1.653

Cell lengths 3.440, 3.440, 10.223 Å; angles 90.00, 90.00, 90.00 degrees
Space group I4mm (No. 107)
Inequivalent atoms, fractional coordinates:
1 Ce 0.000 0.000 0.000 (multiplicity 2)
2 U 0.000 0.000 0.663 (multiplicity 2)
3 Tc 0.000 0.000 0.307 (multiplicity 2)

***

(5)
Density functional theory data (GGA-PBE) for a relaxed structure of LiCd4Au7.

Computed properties:
Electronic total energy in eV per cell: -60.9
DOS(E_F) in states/eV per atom: 0.293

Cell lengths 10.813, 4.964, 10.513 Å; angles 90.00, 119.72, 90.00 degrees
Space group C2/m (No. 12)
Inequivalent atoms, fractional coordinates:
1 Li 0.000 0.000 0.000 (multiplicity 2)
2 Cd 0.097 0.500 0.773 (multiplicity 4)
3 Cd 0.242 0.500 0.321 (multiplicity 4)
4 Au 0.000 0.500 0.000 (multiplicity 2)
5 Au 0.069 0.000 0.322 (multiplicity 4)
6 Au 0.137 0.500 0.523 (multiplicity 4)
7 Au 0.212 0.000 0.917 (multiplicity 4)

***

(6)
Density functional theory data (GGA-PBE) for a relaxed structure of TaZnCr2.

Computed properties:
Electronic total energy in eV per cell: -31.0
DOS(E_F) in states/eV per atom: 0.649

Cell lengths 2.579, 2.579, 8.520 Å; angles 90.00, 90.00, 90.00 degrees
Space group P4/mmm (No. 123)
Inequivalent atoms, fractional coordinates:
1 Ta 0.000 0.000 0.000 (multiplicity 1)
2 Zn 0.000 0.000 0.500 (multiplicity 1)
3 Cr 0.500 0.500 0.266 (multiplicity 2)

***

(7)
Density functional theory data (GGA-PBE) for a relaxed structure of MgCd11In.

Computed properties:
Electronic total energy in eV per cell: -28.1
DOS(E_F) in states/eV per atom: 0.365

Cell lengths 6.062, 14.328, 7.724 Å; angles 90.00, 112.65, 90.00 degrees
Space group C2/m (No. 12)
Inequivalent atoms, fractional coordinates:
1 Mg 0.000 0.000 0.000 (multiplicity 2)
2 Cd 0.000 0.500 0.000 (multiplicity 2)
3 Cd 0.105 0.107 0.715 (multiplicity 8)
4 Cd 0.181 0.326 0.850 (multiplicity 8)
5 Cd 0.250 0.250 0.500 (multiplicity 4)
6 In 0.000 0.500 0.500 (multiplicity 2)

***

(8)
Density functional theory data (GGA-PBE) for a relaxed structure of BMoOs2Cl.

Computed properties:
Electronic total energy in eV per cell: -30.7
DOS(E_F) in states/eV per atom: 1.003

Cell lengths 4.810, 4.810, 4.272 Å; angles 90.00, 90.00, 90.00 degrees
Space group P4/mmm (No. 123)
Inequivalent atoms, fractional coordinates:
1 B 0.000 0.000 0.000 (multiplicity 1)
2 Mo 0.000 0.000 0.500 (multiplicity 1)
3 Os 0.000 0.500 0.500 (multiplicity 2)
4 Cl 0.500 0.500 0.000 (multiplicity 1)

***

(9)
Density functional theory data (GGA-PBE) for a relaxed structure of Pr7CS5.

Computed properties:
Electronic total energy in eV per cell: -330.0
DOS(E_F) in states/eV per atom: 0.637

Cell lengths 3.944, 13.532, 24.463 Å; angles 90.00, 90.00, 90.00 degrees
Space group Cmc2_1 (No. 36)
Inequivalent atoms, fractional coordinates:
1 Pr 0.000 0.055 0.000 (multiplicity 4)
2 Pr 0.000 0.130 0.711 (multiplicity 4)
3 Pr 0.000 0.148 0.287 (multiplicity 4)
4 Pr 0.000 0.298 0.066 (multiplicity 4)
5 Pr 0.000 0.298 0.928 (multiplicity 4)
6 Pr 0.000 0.404 0.630 (multiplicity 4)
7 Pr 0.000 0.430 0.352 (multiplicity 4)
8 C 0.000 0.326 0.533 (multiplicity 4)
9 S 0.000 0.050 0.602 (multiplicity 4)
10 S 0.000 0.062 0.396 (multiplicity 4)
11 S 0.000 0.213 0.821 (multiplicity 4)
12 S 0.000 0.230 0.176 (multiplicity 4)
13 S 0.000 0.488 0.745 (multiplicity 4)

***

(10)
Density functional theory data (GGA-PBE) for a relaxed structure of Sr2Cu2O5.

Computed properties:
Electronic total energy in eV per cell: -100.7
Energy above the most stable polymorph in this dataset in eV per atom: 0.0000
DOS(E_F) in states/eV per atom: 0.651

Cell lengths 5.545, 11.024, 3.757 Å; angles 90.00, 90.00, 90.00 degrees
Space group Pbam (No. 55)
Inequivalent atoms, fractional coordinates:
1 Sr 0.213 0.135 0.000 (multiplicity 4)
2 Cu 0.242 0.377 0.500 (multiplicity 4)
3 O 0.000 0.000 0.500 (multiplicity 2)
4 O 0.018 0.731 0.500 (multiplicity 4)
5 O 0.207 0.402 0.000 (multiplicity 4)

***

(11)
Density functional theory data (GGA-PBE) for a relaxed structure of PmPr7Tm3.

Computed properties:
Electronic total energy in eV per cell: -98.5
Energy above the most stable polymorph in this dataset in eV per atom: 0.0000
DOS(E_F) in states/eV per atom: 1.344

Cell lengths 5.957, 11.346, 11.552 Å; angles 90.00, 90.00, 90.00 degrees
Space group Immm (No. 71)
Inequivalent atoms, fractional coordinates:
1 Pm 0.000 0.000 0.000 (multiplicity 2)
2 Pr 0.000 0.193 0.291 (multiplicity 8)
3 Pr 0.000 0.293 0.000 (multiplicity 4)
4 Pr 0.000 0.500 0.500 (multiplicity 2)
5 Tm 0.000 0.000 0.500 (multiplicity 2)
6 Tm 0.000 0.500 0.203 (multiplicity 4)

***

(12)
Density functional theory data (GGA-PBE) for a relaxed structure of Ag3PbF6.

Computed properties:
Electronic total energy in eV per cell: -76.1
DOS(E_F) in states/eV per atom: 0.469

Cell lengths 7.721, 11.741, 3.959 Å; angles 90.00, 90.00, 90.00 degrees
Space group Cmmm (No. 65)
Inequivalent atoms, fractional coordinates:
1 Ag 0.000 0.000 0.000 (multiplicity 2)
2 Ag 0.250 0.250 0.500 (multiplicity 4)
3 Pb 0.000 0.500 0.000 (multiplicity 2)
4 F 0.000 0.366 0.500 (multiplicity 4)
5 F 0.209 0.122 0.000 (multiplicity 8)